Below is a PBEsol-optimized structure of Tc2HgSb, with properties calculated at the SCAN level.

Excess energy over the best structure of this formula in the dataset, eV per atom: 0.000
Uncorrected energy, eV per atom: -43.345
V, Å³/cell: 66.6

```
data_Tc2HgSb
_symmetry_space_group_name_H-M 'P 1'
_symmetry_Int_Tables_number 1
_symmetry_space_group_name_Hall 'P 1'
_cell_length_a 4.5507
_cell_length_b 4.5507
_cell_length_c 4.5507
_cell_angle_alpha 60.00
_cell_angle_beta 60.00
_cell_angle_gamma 60.00
loop_
_atom_site_label
_atom_site_fract_x
_atom_site_fract_y
_atom_site_fract_z
_atom_site_occupancy
Tc1 0.7500 0.7500 0.7500 1
Tc2 0.2500 0.2500 0.2500 1
Hg1 0.0000 0.0000 0.0000 1
Sb1 0.5000 0.5000 0.5000 1
```